Record 1
# Ca2Mo2S | Alexandria | PBE | optimized geometry
data_Ca2Mo2S
_chemical_formula_sum 'Ca4 Mo4 S2'
_space_group_name_H-M_alt 'P 4/m b m'
_space_group_IT_number 127
_space_group_name_Hall '-P 4 2ab'
_cell_length_a 7.405
_cell_length_b 7.405
_cell_length_c 5.024
_cell_angle_alpha 90.00
_cell_angle_beta 90.00
_cell_angle_gamma 90.00
loop_
_atom_site_label
_atom_site_type_symbol
_atom_site_fract_x
_atom_site_fract_y
_atom_site_fract_z
_atom_site_occupancy
Ca1 Ca 0.176 0.324 0.000 1
Mo1 Mo 0.099 0.599 0.500 1
S1 S 0.000 0.000 0.000 1
# D(E_F) (states/eV/atom): 0.535
# Energy above the most stable polymorph in this dataset (eV/f.u.): 3.74
# V (Å³ per cell): 275


Record 2
# CaMo3S | Alexandria | PBE | optimized geometry
data_CaMo3S
_chemical_formula_sum 'Ca1 Mo3 S1'
_space_group_name_H-M_alt 'P m -3 m'
_space_group_IT_number 221
_space_group_name_Hall '-P 4 2 3'
_cell_length_a 4.551
_cell_length_b 4.551
_cell_length_c 4.551
_cell_angle_alpha 90.00
_cell_angle_beta 90.00
_cell_angle_gamma 90.00
loop_
_atom_site_label
_atom_site_type_symbol
_atom_site_fract_x
_atom_site_fract_y
_atom_site_fract_z
_atom_site_occupancy
Ca1 Ca 0.000 0.000 0.000 1
Mo1 Mo 0.000 0.500 0.500 1
S1 S 0.500 0.500 0.500 1
# D(E_F) (states/eV/atom): 0.756
# Energy above the most stable polymorph in this dataset (eV/f.u.): 0.00
# V (Å³ per cell): 94


Record 3
# CaMoS2 | Alexandria | PBE | optimized geometry
data_CaMoS2
_chemical_formula_sum 'Ca4 Mo4 S8'
_space_group_name_H-M_alt 'F m -3 m'
_space_group_IT_number 225
_space_group_name_Hall '-F 4 2 3'
_cell_length_a 6.392
_cell_length_b 6.392
_cell_length_c 6.392
_cell_angle_alpha 90.00
_cell_angle_beta 90.00
_cell_angle_gamma 90.00
loop_
_atom_site_label
_atom_site_type_symbol
_atom_site_fract_x
_atom_site_fract_y
_atom_site_fract_z
_atom_site_occupancy
Ca1 Ca 0.000 0.000 0.000 1
Mo1 Mo 0.000 0.000 0.500 1
S1 S 0.250 0.250 0.250 1
# D(E_F) (states/eV/atom): 0.000
# Energy above the most stable polymorph in this dataset (eV/f.u.): 0.31
# V (Å³ per cell): 261


Record 4
# CaMoS2 | Alexandria | PBE | optimized geometry
data_CaMoS2
_chemical_formula_sum 'Ca3 Mo3 S6'
_space_group_name_H-M_alt 'R -3 m'
_space_group_IT_number 166
_space_group_name_Hall '-R 3 2"'
_cell_length_a 3.4253
_cell_length_b 3.4253
_cell_length_c 25.5230
_cell_angle_alpha 90.00
_cell_angle_beta 90.00
_cell_angle_gamma 120.00
loop_
_atom_site_label
_atom_site_type_symbol
_atom_site_fract_x
_atom_site_fract_y
_atom_site_fract_z
_atom_site_occupancy
Ca1 Ca 0.0000 0.0000 0.0000 1
Mo1 Mo 0.0000 0.0000 0.5000 1
S1 S 0.0000 0.0000 0.1082 1
# D(E_F) (states/eV/atom): 1.316
# Energy above the most stable polymorph in this dataset (eV/f.u.): 1.03
# V (Å³ per cell): 259


Record 5
# CaSbMoS2 | Alexandria | PBE | optimized geometry
data_CaSbMoS2
_chemical_formula_sum 'Ca1 Sb1 Mo1 S2'
_space_group_name_H-M_alt 'P 4/m m m'
_space_group_IT_number 123
_space_group_name_Hall '-P 4 2'
_cell_length_a 5.066
_cell_length_b 5.066
_cell_length_c 5.785
_cell_angle_alpha 90.00
_cell_angle_beta 90.00
_cell_angle_gamma 90.00
loop_
_atom_site_label
_atom_site_type_symbol
_atom_site_fract_x
_atom_site_fract_y
_atom_site_fract_z
_atom_site_occupancy
Ca1 Ca 0.000 0.000 0.000 1
Sb1 Sb 0.000 0.000 0.500 1
Mo1 Mo 0.500 0.500 0.500 1
S1 S 0.000 0.500 0.000 1
# D(E_F) (states/eV/atom): 1.004
# Total DFT energy (no corrections) (eV per atom): -4.147
# V (Å³ per cell): 148


Record 6
# CaTi2MoS | Alexandria | PBE | optimized geometry
data_CaTi2MoS
_chemical_formula_sum 'Ca1 Ti2 Mo1 S1'
_space_group_name_H-M_alt 'P 4/m m m'
_space_group_IT_number 123
_space_group_name_Hall '-P 4 2'
_cell_length_a 4.664
_cell_length_b 4.664
_cell_length_c 4.679
_cell_angle_alpha 90.00
_cell_angle_beta 90.00
_cell_angle_gamma 90.00
loop_
_atom_site_label
_atom_site_type_symbol
_atom_site_fract_x
_atom_site_fract_y
_atom_site_fract_z
_atom_site_occupancy
Ca1 Ca 0.000 0.000 0.000 1
Ti1 Ti 0.000 0.500 0.000 1
Mo1 Mo 0.500 0.500 0.500 1
S1 S 0.000 0.000 0.500 1
# D(E_F) (states/eV/atom): 1.263
# Total DFT energy (no corrections) (eV per atom): -4.756
# V (Å³ per cell): 102